Below is a relaxed structure of CsDyAg2I6, with properties calculated at the GGA-PBE level.

a = 9.372 Å, b = 11.041 Å, c = 11.041 Å
α = 82.37°, β = 72.43°, γ = 72.43°
Fractional coordinates of all 20 atoms:
I  0.669  0.818  0.948
I  0.516  0.157  0.600
I  0.331  0.182  0.052
Cs  0.250  0.828  0.172
Ag  0.870  0.517  0.615
I  0.959  0.296  0.455
Ag  0.370  0.615  0.517
Cs  0.750  0.172  0.828
I  0.041  0.704  0.545
I  0.541  0.545  0.704
Ag  0.630  0.385  0.483
Dy  0.750  0.822  0.178
I  0.169  0.948  0.818
Dy  0.250  0.178  0.822
I  0.984  0.400  0.843
I  0.484  0.843  0.400
I  0.459  0.455  0.296
Ag  0.130  0.483  0.385
I  0.831  0.052  0.182
I  0.016  0.600  0.157

Computed properties:
For the calculated density, the calculation gives 4.07 Mg/m³. The density of states at the Fermi level is 0.00 states/eV per cell. The value obtained for the uncorrected formation energy is -0.8974 eV per atom.